[1]
NdSm2Mg8: relaxed, GGA-PBE.

The crystal system is orthorhombic. Its density of states at the Fermi level is 0.699 states/eV per atom. The calculation puts the total energy at -2.42 eV/atom. For the energy relative to the elements, the calculation gives 29 kJ/mol of formula units.

a b c (Å): 5.255 7.375 15.373
angles (deg): 90.00 90.00 90.00
Space group Immm (No. 71)
One atom of each set of equivalent atoms:
Nd  0.000  0.000  0.000 [2 per cell]
Sm  0.000  0.000  0.304 [4 per cell]
Mg  0.000  0.213  0.500 [4 per cell]
Mg  0.000  0.286  0.147 [8 per cell]
Mg  0.000  0.500  0.339 [4 per cell]

---

[2]
NdSm2Mg2: relaxed, GGA-PBE.

The crystal system is monoclinic. Its density of states at the Fermi level is 1.081 states/eV per atom. The calculation puts the total energy at -3.56 eV/atom. For the energy relative to the elements, the calculation gives -37 kJ/mol of formula units.

a b c (Å): 3.838 5.553 14.251
angles (deg): 90.00 97.77 90.00
Space group P2_1/m (No. 11)
One atom of each set of equivalent atoms:
Nd  0.150  0.250  0.298 [2 per cell]
Sm  0.045  0.750  0.090 [2 per cell]
Sm  0.237  0.750  0.475 [2 per cell]
Mg  0.359  0.250  0.719 [2 per cell]
Mg  0.449  0.750  0.897 [2 per cell]

---

[3]
Nd2Sm8Mg: relaxed, GGA-PBE.

The crystal system is orthorhombic. Its density of states at the Fermi level is 1.721 states/eV per atom. The calculation puts the total energy at -4.34 eV/atom. For the energy relative to the elements, the calculation gives 111 kJ/mol of formula units.

a b c (Å): 5.639 7.779 17.098
angles (deg): 90.00 90.00 90.00
Space group Immm (No. 71)
One atom of each set of equivalent atoms:
Nd  0.000  0.000  0.195 [4 per cell]
Sm  0.000  0.235  0.000 [4 per cell]
Sm  0.000  0.280  0.366 [8 per cell]
Sm  0.000  0.500  0.174 [4 per cell]
Mg  0.000  0.000  0.500 [2 per cell]

---

[4]
Nd2Sm3Mg2: relaxed, GGA-PBE.

The crystal system is orthorhombic. Its density of states at the Fermi level is 1.174 states/eV per atom. The calculation puts the total energy at -3.81 eV/atom. For the energy relative to the elements, the calculation gives 21 kJ/mol of formula units.

a b c (Å): 3.813 31.294 3.725
angles (deg): 90.00 90.00 90.00
Space group Cmmm (No. 65)
One atom of each set of equivalent atoms:
Nd  0.000  0.204  0.000 [4 per cell]
Sm  0.000  0.079  0.000 [4 per cell]
Sm  0.000  0.500  0.500 [2 per cell]
Mg  0.000  0.359  0.500 [4 per cell]

---

[5]
NdSmMg4: relaxed, GGA-PBE.

The crystal system is cubic. Its density of states at the Fermi level is 0.961 states/eV per atom. The calculation puts the total energy at -2.74 eV/atom. For the energy relative to the elements, the calculation gives -58 kJ/mol of formula units.

a b c (Å): 8.644 8.644 8.644
angles (deg): 90.00 90.00 90.00
Space group F-43m (No. 216)
One atom of each set of equivalent atoms:
Nd  0.000  0.000  0.000 [4 per cell]
Sm  0.250  0.250  0.250 [4 per cell]
Mg  0.125  0.125  0.625 [16 per cell]

---

[6]
Nd2SmMg6: relaxed, GGA-PBE.

The crystal system is hexagonal. Its density of states at the Fermi level is 0.633 states/eV per atom. The calculation puts the total energy at -2.74 eV/atom. For the energy relative to the elements, the calculation gives -84 kJ/mol of formula units.

a b c (Å): 9.2032 9.2032 3.3355
angles (deg): 90.00 90.00 120.00
Space group P6/mmm (No. 191)
One atom of each set of equivalent atoms:
Nd  0.3333  0.6667  0.0000 [2 per cell]
Sm  0.0000  0.0000  0.0000 [1 per cell]
Mg  0.0000  0.3323  0.5000 [6 per cell]

---

[7]
NdSm2Mg9: relaxed, GGA-PBE.

The crystal system is trigonal. Its density of states at the Fermi level is 1.009 states/eV per atom. The calculation puts the total energy at -2.44 eV/atom. For the energy relative to the elements, the calculation gives -73 kJ/mol of formula units.

a b c (Å): 6.0695 6.0695 29.6543
angles (deg): 90.00 90.00 120.00
Space group R-3m (No. 166, hexagonal axes)
One atom of each set of equivalent atoms:
Nd  0.0000  0.0000  0.0000 [3 per cell]
Sm  0.0000  0.0000  0.1433 [6 per cell]
Mg  0.0000  0.0000  0.3340 [6 per cell]
Mg  0.0000  0.0000  0.5000 [3 per cell]
Mg  0.0038  0.5019  0.9161 [18 per cell]

---

[8]
Nd8Sm2Mg: relaxed, GGA-PBE.

The crystal system is monoclinic. Its density of states at the Fermi level is 1.453 states/eV per atom. The calculation puts the total energy at -4.34 eV/atom. For the energy relative to the elements, the calculation gives 139 kJ/mol of formula units.

a b c (Å): 16.466 6.836 6.907
angles (deg): 90.00 102.46 90.00
Space group C2/m (No. 12)
One atom of each set of equivalent atoms:
Nd  0.079  0.238  0.386 [8 per cell]
Nd  0.099  0.000  0.925 [4 per cell]
Nd  0.243  0.500  0.311 [4 per cell]
Sm  0.183  0.500  0.791 [4 per cell]
Mg  0.000  0.500  0.000 [2 per cell]

---

[9]
NdSmMg: relaxed, GGA-PBE.

The crystal system is orthorhombic. Its density of states at the Fermi level is 1.286 states/eV per atom. The calculation puts the total energy at -3.75 eV/atom. For the energy relative to the elements, the calculation gives -16 kJ/mol of formula units.

a b c (Å): 5.282 13.357 5.284
angles (deg): 90.00 90.00 90.00
Space group Cmcm (No. 63)
One atom of each set of equivalent atoms:
Nd  0.000  0.091  0.250 [4 per cell]
Sm  0.000  0.408  0.250 [4 per cell]
Mg  0.000  0.250  0.750 [4 per cell]

---

[10]
Nd4Sm6Mg: relaxed, GGA-PBE.

The crystal system is tetragonal. Its density of states at the Fermi level is 1.431 states/eV per atom. The calculation puts the total energy at -4.19 eV/atom. For the energy relative to the elements, the calculation gives 276 kJ/mol of formula units.

a b c (Å): 6.632 6.632 17.202
angles (deg): 90.00 90.00 90.00
Space group I-42m (No. 121)
One atom of each set of equivalent atoms:
Nd  0.183  0.183  0.323 [8 per cell]
Sm  0.000  0.500  0.000 [4 per cell]
Sm  0.170  0.170  0.124 [8 per cell]
Mg  0.000  0.000  0.500 [2 per cell]

---

[11]
NdSm2Mg4: relaxed, GGA-PBE.

The crystal system is orthorhombic. Its density of states at the Fermi level is 0.870 states/eV per atom. The calculation puts the total energy at -2.61 eV/atom. For the energy relative to the elements, the calculation gives 226 kJ/mol of formula units.

a b c (Å): 6.064 13.071 5.577
angles (deg): 90.00 90.00 90.00
Space group Cmmm (No. 65)
One atom of each set of equivalent atoms:
Nd  0.000  0.000  0.000 [2 per cell]
Sm  0.000  0.365  0.500 [4 per cell]
Mg  0.000  0.117  0.500 [4 per cell]
Mg  0.000  0.246  0.000 [4 per cell]

---

[12]
Nd5SmMg3: relaxed, GGA-PBE.

The crystal system is monoclinic. Its density of states at the Fermi level is 1.438 states/eV per atom. The calculation puts the total energy at -3.36 eV/atom. For the energy relative to the elements, the calculation gives 303 kJ/mol of formula units.

a b c (Å): 13.620 8.264 11.023
angles (deg): 90.00 97.29 90.00
Space group C2/m (No. 12)
One atom of each set of equivalent atoms:
Nd  0.000  0.170  0.000 [4 per cell]
Nd  0.012  0.000  0.636 [4 per cell]
Nd  0.150  0.292  0.724 [8 per cell]
Nd  0.243  0.500  0.031 [4 per cell]
Sm  0.108  0.500  0.266 [4 per cell]
Mg  0.000  0.500  0.000 [2 per cell]
Mg  0.000  0.500  0.500 [2 per cell]
Mg  0.157  0.000  0.211 [4 per cell]
Mg  0.222  0.000  0.491 [4 per cell]

---

Which spin magnetization belongs to each record? In order, 0.0, 0.0, 0.0, 0.0, 0.0, 0.0, 0.0, 0.0, 0.0, 0.0, 0.0, 0.0 μB per formula unit.